Computed, not measured: crystalline ZnSnI2 at its relaxed geometry at the PBE level of DFT.

CIF file:
```
data_ZnSnI2
_chemical_formula_sum 'Zn4 Sn4 I8'
_space_group_name_H-M_alt 'F m -3 m'
_space_group_IT_number 225
_space_group_name_Hall '-F 4 2 3'
_cell_length_a 8.006
_cell_length_b 8.006
_cell_length_c 8.006
_cell_angle_alpha 90.00
_cell_angle_beta 90.00
_cell_angle_gamma 90.00
loop_
_atom_site_label
_atom_site_fract_x
_atom_site_fract_y
_atom_site_fract_z
Zn1 0.000 0.000 0.000
Sn1 0.000 0.000 0.500
I1 0.250 0.250 0.250
```

Values from the calculation:
total energy	-2.075	eV/atom
energy above the lowest structure with this stoichiometry	0.09	eV per formula unit
N(E_F)	0.18	states/eV/atom
ΔE_f (raw)	19	meV/atom


Computed, not measured: crystalline HgAs2Ir at its relaxed geometry at the PBE level of DFT.

CIF file:
```
data_HgAs2Ir
_chemical_formula_sum 'Hg1 As2 Ir1'
_space_group_name_H-M_alt 'P m m 2'
_space_group_IT_number 25
_cell_length_a 2.921
_cell_length_b 3.759
_cell_length_c 7.967
_cell_angle_alpha 90.00
_cell_angle_beta 90.00
_cell_angle_gamma 90.00
loop_
_space_group_symop_operation_xyz
'x,y,z'
'-x,-y,z'
'-x,y,z'
'x,-y,z'
loop_
_atom_site_label
_atom_site_fract_x
_atom_site_fract_y
_atom_site_fract_z
Hg1 0.000 0.000 0.000
As1 0.000 0.000 0.351
As2 0.500 0.500 0.762
Ir1 0.500 0.500 0.464
```

Values from the calculation:
total energy	-4.465	eV/atom
N(E_F)	0.42	states/eV/atom


Computed, not measured: crystalline P3Ir2Au at its relaxed geometry at the PBE level of DFT.

CIF file:
```
data_P3Ir2Au
_chemical_formula_sum 'P3 Ir2 Au1'
_space_group_name_H-M_alt 'P 1 m 1'
_space_group_IT_number 6
_cell_length_a 4.828
_cell_length_b 3.550
_cell_length_c 6.007
_cell_angle_alpha 90.00
_cell_angle_beta 97.37
_cell_angle_gamma 90.00
loop_
_space_group_symop_operation_xyz
'x,y,z'
'x,-y,z'
loop_
_atom_site_label
_atom_site_fract_x
_atom_site_fract_y
_atom_site_fract_z
P1 0.000 0.000 0.000
P2 0.136 0.500 0.473
P3 0.490 0.500 0.250
Ir1 0.232 0.500 0.884
Ir2 0.821 0.000 0.327
Au1 0.602 0.000 0.727
```

Values from the calculation:
total energy	-6.445	eV/atom
energy above the lowest structure with this stoichiometry	0.15	eV per formula unit
N(E_F)	0.47	states/eV/atom


Computed, not measured: crystalline La2YHoEr at its relaxed geometry at the PBE level of DFT.

CIF file:
```
data_La2YHoEr
_chemical_formula_sum 'La8 Y4 Ho4 Er4'
_space_group_name_H-M_alt 'C m c m'
_space_group_IT_number 63
_space_group_name_Hall '-C 2c 2'
_cell_length_a 8.419
_cell_length_b 11.692
_cell_length_c 7.333
_cell_angle_alpha 90.00
_cell_angle_beta 90.00
_cell_angle_gamma 90.00
loop_
_atom_site_label
_atom_site_fract_x
_atom_site_fract_y
_atom_site_fract_z
La1 0.196 0.000 0.000
Y1 0.000 0.250 0.250
Ho1 0.000 0.213 0.750
Er1 0.000 0.473 0.750
```

Values from the calculation:
total energy	-4.681	eV/atom
N(E_F)	1.30	states/eV/atom


Computed, not measured: crystalline Al2ZnNi8 at its relaxed geometry at the PBE level of DFT.

CIF file:
```
data_Al2ZnNi8
_chemical_formula_sum 'Al4 Zn2 Ni16'
_space_group_name_H-M_alt 'I m m m'
_space_group_IT_number 71
_space_group_name_Hall '-I 2 2'
_cell_length_a 3.869
_cell_length_b 6.244
_cell_length_c 10.748
_cell_angle_alpha 90.00
_cell_angle_beta 90.00
_cell_angle_gamma 90.00
loop_
_atom_site_label
_atom_site_fract_x
_atom_site_fract_y
_atom_site_fract_z
Al1 0.000 0.000 0.201
Zn1 0.000 0.000 0.500
Ni1 0.000 0.198 0.000
Ni2 0.000 0.288 0.350
Ni3 0.000 0.500 0.150
```

Values from the calculation:
total energy	-5.226	eV/atom
N(E_F)	1.38	states/eV/atom


Computed, not measured: crystalline ReAsH3 at its relaxed geometry at the PBE level of DFT.

CIF file:
```
data_ReAsH3
_chemical_formula_sum 'Re2 As2 H6'
_space_group_name_H-M_alt 'P 1 21/m 1'
_space_group_IT_number 11
_cell_length_a 4.790
_cell_length_b 4.696
_cell_length_c 5.857
_cell_angle_alpha 90.00
_cell_angle_beta 97.57
_cell_angle_gamma 90.00
loop_
_space_group_symop_operation_xyz
'x,y,z'
'-x,-y,-z'
'-x,y+1/2,-z'
'x,-y+1/2,z'
loop_
_atom_site_label
_atom_site_fract_x
_atom_site_fract_y
_atom_site_fract_z
Re1 0.172 0.250 0.110
As1 0.342 0.750 0.040
H1 0.082 0.063 0.327
H2 0.415 0.250 0.338
```

Values from the calculation:
total energy	-5.276	eV/atom
energy above the lowest structure with this stoichiometry	0.00	eV per formula unit
N(E_F)	0.14	states/eV/atom


Computed, not measured: crystalline YSeBr2 at its relaxed geometry at the PBE level of DFT.

CIF file:
```
data_YSeBr2
_chemical_formula_sum 'Y2 Se2 Br4'
_space_group_name_H-M_alt 'I -4 m 2'
_space_group_IT_number 119
_space_group_name_Hall 'I -4 -2'
_cell_length_a 4.553
_cell_length_b 4.553
_cell_length_c 9.379
_cell_angle_alpha 90.00
_cell_angle_beta 90.00
_cell_angle_gamma 90.00
loop_
_atom_site_label
_atom_site_fract_x
_atom_site_fract_y
_atom_site_fract_z
Y1 0.000 0.000 0.000
Se1 0.000 0.500 0.250
Br1 0.000 0.000 0.500
Br2 0.000 0.500 0.750
```

Values from the calculation:
total energy	-4.203	eV/atom
energy above the lowest structure with this stoichiometry	1.95	eV per formula unit
N(E_F)	0.66	states/eV/atom
ΔE_f (raw)	-879	meV/atom


Computed, not measured: crystalline YTa2Ir at its relaxed geometry at the PBE level of DFT.

CIF file:
```
data_YTa2Ir
_chemical_formula_sum 'Y1 Ta2 Ir1'
_space_group_name_H-M_alt 'P m m m'
_space_group_IT_number 47
_cell_length_a 3.295
_cell_length_b 4.637
_cell_length_c 4.977
_cell_angle_alpha 90.00
_cell_angle_beta 90.00
_cell_angle_gamma 90.00
loop_
_space_group_symop_operation_xyz
'x,y,z'
'-x,-y,-z'
'-x,-y,z'
'x,y,-z'
'x,-y,-z'
'-x,y,z'
'-x,y,-z'
'x,-y,z'
loop_
_atom_site_label
_atom_site_fract_x
_atom_site_fract_y
_atom_site_fract_z
Y1 0.000 0.000 0.000
Ta1 0.000 0.500 0.500
Ta2 0.500 0.000 0.500
Ir1 0.500 0.500 0.000
```

Values from the calculation:
total energy	-9.806	eV/atom
energy above the lowest structure with this stoichiometry	0.54	eV per formula unit
N(E_F)	1.08	states/eV/atom


Computed, not measured: crystalline Pr2TmTi at its relaxed geometry at the PBE level of DFT.

CIF file:
```
data_Pr2TmTi
_chemical_formula_sum 'Pr6 Tm3 Ti3'
_space_group_name_H-M_alt 'R -3 m'
_space_group_IT_number 166
_space_group_name_Hall '-R 3 2"'
_cell_length_a 3.4033
_cell_length_b 3.4033
_cell_length_c 35.8000
_cell_angle_alpha 90.00
_cell_angle_beta 90.00
_cell_angle_gamma 120.00
loop_
_atom_site_label
_atom_site_fract_x
_atom_site_fract_y
_atom_site_fract_z
Pr1 0.0000 0.0000 0.0829
Tm1 0.0000 0.0000 0.5000
Ti1 0.0000 0.0000 0.0000
```

Values from the calculation:
total energy	-5.023	eV/atom
N(E_F)	1.69	states/eV/atom


Computed, not measured: crystalline CdAgAs2 at its relaxed geometry at the PBE level of DFT.

CIF file:
```
data_CdAgAs2
_chemical_formula_sum 'Cd2 Ag2 As4'
_space_group_name_H-M_alt 'C 1 2/m 1'
_space_group_IT_number 12
_cell_length_a 10.323
_cell_length_b 3.178
_cell_length_c 5.240
_cell_angle_alpha 90.00
_cell_angle_beta 104.80
_cell_angle_gamma 90.00
loop_
_space_group_symop_operation_xyz
'x,y,z'
'-x,-y,-z'
'-x,y,-z'
'x,-y,z'
'x+1/2,y+1/2,z'
'-x+1/2,-y+1/2,-z'
'-x+1/2,y+1/2,-z'
'x+1/2,-y+1/2,z'
loop_
_atom_site_label
_atom_site_fract_x
_atom_site_fract_y
_atom_site_fract_z
Cd1 0.000 0.000 0.000
Ag1 0.000 0.500 0.500
As1 0.244 0.000 0.697
```

Values from the calculation:
total energy	-3.072	eV/atom
N(E_F)	0.26	states/eV/atom